A PBEsol-optimized structure of CuSe2, computed with meta-GGA SCAN.

a b c (Å): 5.2988 5.2988 5.2988
angles (deg): 142.79 142.79 53.64
With the nearest neighbours (Å) after each atom.
Element x y z (fractional)
Cu 0.0000 0.0000 0.0000  8 Se 2.68
Se 0.3710 0.3710 0.0000  1 Se 2.44, 4 Cu 2.68
Se 0.6290 0.6290 0.0000  1 Se 2.44, 4 Cu 2.68

## Properties
* DFT total energy: -54.39 eV per cell
* D(E_F): 0.620 states/eV/atom
* ΔE_f (raw): 321.0 meV/atom
* symmetry: I4/mmm (139)